Entry 1:
Below is a relaxed structure of Tb2Np2Se7, with properties calculated at the PBE-GGA level.

Computed properties:
Uncorrected formation energy (eV per formula unit): -14.18
Magnetization (μB/cell): 6.0

Cell lengths 4.821, 4.821, 13.623 Å; angles 90.00, 90.00, 90.00 degrees
Space group P-4m2 (No. 115)
Asymmetric unit:
Tb (0.000, 0.500, 0.139)
Np (0.000, 0.500, 0.624)
Se (0.000, 0.000, 0.239)
Se (0.000, 0.000, 0.500)
Se (0.500, 0.500, 0.000)
Se (0.500, 0.500, 0.259)
Se (0.500, 0.500, 0.500)


Entry 2:
Below is a relaxed structure of AsAuSe2, with properties calculated at the PBE-GGA level.

Computed properties:
Uncorrected formation energy (eV per formula unit): 0.84
Magnetization (μB/cell): 0.0

Cell lengths 3.582, 3.845, 12.804 Å; angles 90.00, 90.00, 90.00 degrees
Space group Imm2 (No. 44)
Asymmetric unit:
As (0.000, 0.000, 0.000)
Au (0.000, 0.500, 0.742)
Se (0.000, 0.000, 0.595)
Se (0.000, 0.500, 0.352)


Entry 3:
Below is a relaxed structure of Ta2Be2Si, with properties calculated at the PBE-GGA level.

Computed properties:
Uncorrected formation energy (eV per formula unit): -1.43
Magnetization (μB/cell): 0.0

Cell lengths 5.948, 5.948, 3.610 Å; angles 90.00, 90.00, 90.00 degrees
Space group P4/mbm (No. 127)
Asymmetric unit:
Ta (0.179, 0.321, 0.000)
Be (0.120, 0.620, 0.500)
Si (0.000, 0.000, 0.500)